Compound: Ba2TlGeS4
Source: Alexandria via LeMat-Bulk
Functional: PBE-GGA
Structure: relaxed

abc: 8.5773 8.6690 12.1968
angles: 90.00 90.00 90.00
Space group Imma (No. 74)
One atom of each set of equivalent atoms:
Ba  0.0000  0.0000  0.0000
Ba  0.2500  0.2500  0.2500
Tl  0.0000  0.0000  0.5000
Ge  0.2500  0.2500  0.7500
S  0.0000  0.0231  0.7463
S  0.2411  0.2500  0.5137

Computed properties:
DOS at the Fermi energy in states/eV/f.u.: 5.10
DFT total energy in eV per cell: -141.4